Fe2CoCu: relaxed, PBE.

Calculated values
Energy relative to the elements in eV per atom: 0.072
Calculated total energy in eV/atom: -6.960
Offset from the most stable computed form in meV/atom: 5

Lattice parameters (Å, degrees): 2.4623 2.4623 8.0863 90.00 90.00 108.42
Sites, in units of the cell vectors:
1 Fe 0.0000 0.0000 0.0000
2 Fe 0.5000 0.5000 0.2485
3 Co 0.0000 0.0000 0.4909
4 Cu 0.5000 0.5000 0.7449